# Zn2CoOsF

A geometry-optimized Zn2CoOsF structure (GGA+U, Alexandria).

Calculated values
For the electronic total energy, the calculation gives -0.2504 Ry per atom. The value obtained for the volume is 21.90 A^3/atom.

```
Zn2CoOsF
1.0
-1.096 2.210 -4.177
-2.978 -3.424 -1.030
-3.563 2.430 2.221
Os Zn Co F
1 2 1 1
direct
0.000 0.000 0.000
0.500 0.000 0.000
0.000 0.000 0.500
0.000 0.500 0.000
0.500 0.500 0.500
```